ThTl2Cu | PBE | optimized geometry

Calculated values
- Energy: -4.02 eV per atom

a b c (Å): 4.7511 4.6068 4.6068
angles (deg): 90.00 90.00 90.00
With the nearest neighbours (Å) after each atom.
Element x y z (fractional)
Tl 0.0000 0.0000 0.5000  4 Tl 3.26, 4 Th 3.31, 4 Cu 3.31
Tl 0.0000 0.5000 0.0000  4 Tl 3.26, 4 Th 3.31, 4 Cu 3.31
Cu 0.5000 0.5000 0.5000  4 Th 3.26, 8 Tl 3.31
Th 0.5000 0.0000 0.0000  4 Cu 3.26, 8 Tl 3.31



Hf6RhC | PBE | optimized geometry

Calculated values
- Energy: -9.76 eV per atom

a b c (Å): 5.6467 6.1280 6.0532
angles (deg): 68.53 67.43 58.18
With the nearest neighbours (Å) after each atom.
Element x y z (fractional)
Hf 0.0708 0.3660 0.7661  1 C 2.32
Hf 0.7789 0.0160 0.7534  1 C 2.23
Hf 0.5780 0.2290 0.2299  1 C 2.22
Hf 0.2211 0.9840 0.2466  1 C 2.23
Hf 0.9292 0.6340 0.2339  1 C 2.32
Hf 0.4220 0.7710 0.7701  1 C 2.22
Rh 0.5000 0.5000 0.5000  6 Hf 2.51-2.70
C 0.0000 0.0000 0.0000  6 Hf 2.22-2.32



DOS at the Fermi energy values (in states/eV/cell) by entry order: 3.13, 7.46.